No. 1
Compound: Sm2SeO2
Source: the Alexandria database
Functional: PBEsol
Structure: optimized geometry

VASP energy	-39.982	eV/f.u.

abc: 3.902 3.902 6.888
angles: 90.00 90.00 120.00
Atoms (fractional coordinates):
1 Sm 0.333 0.667 0.289
2 Sm 0.667 0.333 0.711
3 Se 0.000 0.000 0.000
4 O 0.333 0.667 0.626
5 O 0.667 0.333 0.374

No. 2
Compound: Sm3Ti3Se2O8
Source: the Alexandria database
Functional: PBEsol
Structure: optimized geometry

VASP energy	-137.928	eV/f.u.

abc: 9.675 3.897 13.236
angles: 90.00 111.07 90.00
Atoms (fractional coordinates):
1 Sm 0.053 0.250 0.162
2 Sm 0.409 0.250 0.585
3 Sm 0.415 0.750 0.084
4 Sm 0.585 0.250 0.916
5 Sm 0.591 0.750 0.415
6 Sm 0.947 0.750 0.838
7 Ti 0.041 0.750 0.593
8 Ti 0.183 0.750 0.401
9 Ti 0.321 0.750 0.768
10 Ti 0.679 0.250 0.232
11 Ti 0.817 0.250 0.599
12 Ti 0.959 0.250 0.407
13 Se 0.163 0.250 0.981
14 Se 0.392 0.250 0.254
15 Se 0.608 0.750 0.746
16 Se 0.837 0.750 0.019
17 O 0.011 0.250 0.573
18 O 0.120 0.750 0.256
19 O 0.123 0.750 0.749
20 O 0.178 0.250 0.428
21 O 0.249 0.750 0.606
22 O 0.360 0.250 0.763
23 O 0.390 0.750 0.471
24 O 0.445 0.750 0.917
25 O 0.555 0.250 0.083
26 O 0.610 0.250 0.529
27 O 0.640 0.750 0.237
28 O 0.751 0.250 0.394
29 O 0.822 0.750 0.572
30 O 0.877 0.250 0.251
31 O 0.880 0.250 0.744
32 O 0.989 0.750 0.427

No. 3
Compound: Sm7VSe8O4
Source: the Alexandria database
Functional: PBEsol
Structure: optimized geometry

VASP energy	-143.692	eV/f.u.

abc: 14.084 15.423 3.931
angles: 90.00 90.00 90.00
Atoms (fractional coordinates):
1 Sm 0.000 0.000 0.000
2 Sm 0.007 0.311 0.500
3 Sm 0.209 0.382 0.000
4 Sm 0.219 0.165 0.500
5 Sm 0.281 0.665 0.500
6 Sm 0.291 0.882 0.000
7 Sm 0.493 0.811 0.500
8 Sm 0.500 0.500 0.000
9 Sm 0.507 0.189 0.500
10 Sm 0.709 0.118 0.000
11 Sm 0.719 0.335 0.500
12 Sm 0.781 0.835 0.500
13 Sm 0.791 0.618 0.000
14 Sm 0.993 0.689 0.500
15 V 0.000 0.500 0.000
16 V 0.500 0.000 0.000
17 Se 0.068 0.173 0.000
18 Se 0.118 0.532 0.500
19 Se 0.147 0.973 0.500
20 Se 0.155 0.736 0.000
21 Se 0.345 0.236 0.000
22 Se 0.353 0.473 0.500
23 Se 0.382 0.032 0.500
24 Se 0.432 0.673 0.000
25 Se 0.568 0.327 0.000
26 Se 0.618 0.968 0.500
27 Se 0.647 0.527 0.500
28 Se 0.655 0.764 0.000
29 Se 0.845 0.264 0.000
30 Se 0.853 0.027 0.500
31 Se 0.882 0.468 0.500
32 Se 0.932 0.827 0.000
33 O 0.045 0.381 0.000
34 O 0.173 0.312 0.500
35 O 0.327 0.812 0.500
36 O 0.455 0.881 0.000
37 O 0.545 0.119 0.000
38 O 0.673 0.188 0.500
39 O 0.827 0.688 0.500
40 O 0.955 0.619 0.000

No. 4
Compound: SnSe2O6
Source: the Alexandria database
Functional: PBEsol
Structure: optimized geometry

VASP energy	-52.926	eV/f.u.

abc: 8.243 8.243 8.243
angles: 90.00 90.00 90.00
Atoms (fractional coordinates):
1 Sn 0.000 0.000 0.000
2 Sn 0.000 0.500 0.500
3 Sn 0.500 0.000 0.500
4 Sn 0.500 0.500 0.000
5 Se 0.166 0.666 0.834
6 Se 0.166 0.834 0.334
7 Se 0.334 0.166 0.834
8 Se 0.334 0.334 0.334
9 Se 0.666 0.666 0.666
10 Se 0.666 0.834 0.166
11 Se 0.834 0.166 0.666
12 Se 0.834 0.334 0.166
13 O 0.032 0.532 0.746
14 O 0.032 0.746 0.468
15 O 0.032 0.754 0.968
16 O 0.032 0.968 0.246
17 O 0.246 0.032 0.968
18 O 0.246 0.468 0.468
19 O 0.254 0.532 0.968
20 O 0.254 0.968 0.468
21 O 0.468 0.032 0.746
22 O 0.468 0.246 0.468
23 O 0.468 0.254 0.968
24 O 0.468 0.468 0.246
25 O 0.532 0.532 0.754
26 O 0.532 0.746 0.032
27 O 0.532 0.754 0.532
28 O 0.532 0.968 0.254
29 O 0.746 0.032 0.532
30 O 0.746 0.468 0.032
31 O 0.754 0.532 0.532
32 O 0.754 0.968 0.032
33 O 0.968 0.032 0.754
34 O 0.968 0.246 0.032
35 O 0.968 0.254 0.532
36 O 0.968 0.468 0.254

No. 5
Compound: SnSe2O6
Source: the Alexandria database
Functional: PBEsol
Structure: optimized geometry

VASP energy	-52.931	eV/f.u.

abc: 4.806 8.579 7.009
angles: 90.00 110.69 90.00
Atoms (fractional coordinates):
1 Sn 0.000 0.000 0.000
2 Sn 0.000 0.500 0.500
3 Se 0.374 0.157 0.693
4 Se 0.374 0.343 0.193
5 Se 0.626 0.657 0.807
6 Se 0.626 0.843 0.307
7 O 0.089 0.068 0.744
8 O 0.089 0.432 0.244
9 O 0.289 0.148 0.209
10 O 0.289 0.352 0.709
11 O 0.340 0.661 0.572
12 O 0.340 0.839 0.072
13 O 0.660 0.161 0.928
14 O 0.660 0.339 0.428
15 O 0.711 0.648 0.291
16 O 0.711 0.852 0.791
17 O 0.911 0.568 0.756
18 O 0.911 0.932 0.256

No. 6
Compound: ZrSnSeO2
Source: the Alexandria database
Functional: PBEsol
Structure: optimized geometry

VASP energy	-34.743	eV/f.u.

abc: 4.005 4.005 6.568
angles: 90.00 90.00 90.00
Atoms (fractional coordinates):
1 Zr 0.000 0.000 0.000
2 Sn 0.000 0.000 0.500
3 Se 0.500 0.500 0.500
4 O 0.000 0.500 0.000
5 O 0.500 0.000 0.000

No. 7
Compound: SrSeO3
Source: the Alexandria database
Functional: PBEsol
Structure: optimized geometry

VASP energy	-31.032	eV/f.u.

abc: 12.479 5.485 4.412
angles: 90.00 90.00 90.00
Atoms (fractional coordinates):
1 Sr 0.152 0.250 0.026
2 Sr 0.348 0.750 0.526
3 Sr 0.652 0.250 0.474
4 Sr 0.848 0.750 0.974
5 Se 0.077 0.750 0.498
6 Se 0.423 0.250 0.998
7 Se 0.577 0.750 0.002
8 Se 0.923 0.250 0.502
9 O 0.052 0.750 0.115
10 O 0.164 0.509 0.531
11 O 0.164 0.991 0.531
12 O 0.336 0.009 0.031
13 O 0.336 0.491 0.031
14 O 0.448 0.250 0.615
15 O 0.552 0.750 0.385
16 O 0.664 0.509 0.969
17 O 0.664 0.991 0.969
18 O 0.836 0.009 0.469
19 O 0.836 0.491 0.469
20 O 0.948 0.250 0.885

No. 8
Compound: SrSeO3
Source: the Alexandria database
Functional: PBEsol
Structure: optimized geometry

VASP energy	-31.032	eV/f.u.

abc: 4.412 5.486 6.532
angles: 90.00 107.30 90.00
Atoms (fractional coordinates):
1 Sr 0.158 0.250 0.303
2 Sr 0.842 0.750 0.697
3 Se 0.434 0.250 0.847
4 Se 0.566 0.750 0.153
5 O 0.161 0.750 0.105
6 O 0.323 0.009 0.672
7 O 0.323 0.491 0.672
8 O 0.677 0.509 0.328
9 O 0.677 0.991 0.328
10 O 0.839 0.250 0.895

No. 9
Compound: SrSeO3
Source: the Alexandria database
Functional: PBEsol
Structure: optimized geometry

VASP energy	-29.512	eV/f.u.

abc: 3.996 3.996 3.996
angles: 90.00 90.00 90.00
Atoms (fractional coordinates):
1 Sr 0.000 0.000 0.000
2 Se 0.500 0.500 0.500
3 O 0.000 0.500 0.500
4 O 0.500 0.000 0.500
5 O 0.500 0.500 0.000

No. 10
Compound: SrSe2O5
Source: the Alexandria database
Functional: PBEsol
Structure: optimized geometry

VASP energy	-47.713	eV/f.u.

abc: 6.896 6.918 10.883
angles: 84.92 81.42 79.65
Atoms (fractional coordinates):
1 Sr 0.186 0.109 0.258
2 Sr 0.307 0.139 0.607
3 Sr 0.693 0.861 0.393
4 Sr 0.814 0.891 0.742
5 Se 0.086 0.667 0.120
6 Se 0.196 0.657 0.457
7 Se 0.375 0.229 0.934
8 Se 0.380 0.660 0.715
9 Se 0.620 0.340 0.285
10 Se 0.625 0.771 0.066
11 Se 0.804 0.343 0.543
12 Se 0.914 0.333 0.880
13 O 0.038 0.279 0.471
14 O 0.042 0.784 0.256
15 O 0.159 0.406 0.878
16 O 0.181 0.838 0.735
17 O 0.212 0.445 0.158
18 O 0.259 0.061 0.022
19 O 0.292 0.868 0.445
20 O 0.316 0.521 0.596
21 O 0.449 0.213 0.370
22 O 0.470 0.129 0.798
23 O 0.530 0.871 0.202
24 O 0.551 0.787 0.630
25 O 0.684 0.479 0.404
26 O 0.708 0.132 0.555
27 O 0.741 0.939 0.978
28 O 0.788 0.555 0.842
29 O 0.819 0.162 0.265
30 O 0.841 0.594 0.122
31 O 0.958 0.216 0.744
32 O 0.962 0.721 0.529

No. 11
Compound: Sr2Se2O
Source: the Alexandria database
Functional: PBEsol
Structure: optimized geometry

VASP energy	-22.666	eV/f.u.

abc: 5.631 5.631 5.631
angles: 118.73 118.73 92.21
Atoms (fractional coordinates):
1 Sr 0.250 0.750 0.500
2 Sr 0.750 0.250 0.500
3 Se 0.167 0.167 0.000
4 Se 0.833 0.833 0.000
5 O 0.500 0.500 0.000

No. 12
Compound: SrSe2O
Source: the Alexandria database
Functional: PBEsol
Structure: optimized geometry

VASP energy	-12.806	eV/f.u.

abc: 8.929 8.929 8.929
angles: 21.85 21.85 21.85
Atoms (fractional coordinates):
1 Sr 0.000 0.000 0.000
2 Se 0.111 0.111 0.111
3 Se 0.889 0.889 0.889
4 O 0.500 0.500 0.500

No. 13
Compound: SrTcSeO2
Source: the Alexandria database
Functional: PBEsol
Structure: optimized geometry

VASP energy	-27.281	eV/f.u.

abc: 4.305 4.305 4.571
angles: 90.00 90.00 90.00
Atoms (fractional coordinates):
1 Sr 0.000 0.000 0.000
2 Tc 0.500 0.500 0.000
3 Se 0.500 0.500 0.500
4 O 0.000 0.500 0.500
5 O 0.500 0.000 0.500

No. 14
Compound: SrUSe2O8
Source: the Alexandria database
Functional: PBEsol
Structure: optimized geometry

VASP energy	-87.832	eV/f.u.

abc: 5.657 6.779 11.251
angles: 104.70 93.30 109.73
Atoms (fractional coordinates):
1 Sr 0.166 0.250 0.437
2 Sr 0.834 0.750 0.563
3 U 0.331 0.741 0.837
4 U 0.669 0.259 0.163
5 Se 0.191 0.191 0.878
6 Se 0.231 0.692 0.338
7 Se 0.769 0.308 0.662
8 Se 0.809 0.809 0.122
9 O 0.052 0.665 0.912
10 O 0.062 0.523 0.659
11 O 0.176 0.896 0.440
12 O 0.185 0.982 0.752
13 O 0.381 0.421 0.845
14 O 0.395 0.183 0.243
15 O 0.402 0.132 0.972
16 O 0.426 0.623 0.425
17 O 0.574 0.377 0.575
18 O 0.598 0.868 0.028
19 O 0.605 0.817 0.757
20 O 0.619 0.579 0.155
21 O 0.815 0.018 0.248
22 O 0.824 0.104 0.560
23 O 0.938 0.477 0.341
24 O 0.948 0.335 0.088

No. 15
Compound: SrZnSe2O6
Source: the Alexandria database
Functional: PBEsol
Structure: optimized geometry

VASP energy	-57.696	eV/f.u.

abc: 4.411 15.028 9.998
angles: 90.00 111.94 90.00
Atoms (fractional coordinates):
1 Sr 0.218 0.118 0.462
2 Sr 0.218 0.382 0.962
3 Sr 0.782 0.618 0.038
4 Sr 0.782 0.882 0.538
5 Zn 0.014 0.144 0.780
6 Zn 0.014 0.356 0.280
7 Zn 0.986 0.644 0.720
8 Zn 0.986 0.856 0.220
9 Se 0.121 0.696 0.434
10 Se 0.121 0.804 0.934
11 Se 0.461 0.002 0.218
12 Se 0.461 0.498 0.718
13 Se 0.539 0.502 0.282
14 Se 0.539 0.998 0.782
15 Se 0.879 0.196 0.066
16 Se 0.879 0.304 0.566
17 O 0.071 0.513 0.715
18 O 0.071 0.987 0.215
19 O 0.097 0.212 0.955
20 O 0.097 0.288 0.455
21 O 0.182 0.181 0.227
22 O 0.182 0.319 0.727
23 O 0.205 0.691 0.918
24 O 0.205 0.809 0.418
25 O 0.337 0.536 0.107
26 O 0.337 0.964 0.607
27 O 0.445 0.111 0.764
28 O 0.445 0.389 0.264
29 O 0.555 0.611 0.736
30 O 0.555 0.889 0.236
31 O 0.663 0.036 0.393
32 O 0.663 0.464 0.893
33 O 0.795 0.191 0.582
34 O 0.795 0.309 0.082
35 O 0.818 0.681 0.273
36 O 0.818 0.819 0.773
37 O 0.903 0.712 0.545
38 O 0.903 0.788 0.045
39 O 0.929 0.013 0.785
40 O 0.929 0.487 0.285

No. 16
Compound: Ta2SeO
Source: the Alexandria database
Functional: PBEsol
Structure: optimized geometry

VASP energy	-36.522	eV/f.u.

abc: 7.204 7.204 7.204
angles: 142.48 142.48 54.11
Atoms (fractional coordinates):
1 Ta 0.031 0.625 0.906
2 Ta 0.375 0.281 0.406
3 Ta 0.719 0.125 0.094
4 Ta 0.875 0.969 0.594
5 Se 0.250 0.750 0.500
6 Se 0.500 0.500 0.000
7 O 0.000 0.000 0.000
8 O 0.750 0.250 0.500